Entry 1:
This record from Alexandria describes a PBEsol-optimized structure of MgAs2Os. The functional is meta-GGA SCAN.

Cell and atoms, written as POSCAR:
```
MgAs2Os
1.0
-0.487 3.195 -3.152
-1.550 -4.084 -0.667
-4.443 -0.790 -0.114
As Mg Os
2 1 1
Cartesian
-4.473 -0.238 -2.782
-2.008 -1.441 -1.150
-2.465 1.202 -1.633
0.000 0.000 0.000
```

Results
crystal system: tetragonal
distance to the lowest polymorph of the same formula: 0.192 eV/atom
N(E_F): 0.44 states/eV/atom
space-group type: I4/mmm (139)
calculated total energy: -29.2767 eV/atom
size of the total moment: 0.000 μB/f.u.
energy relative to the elements: 12.4 kJ/mol of formula units



Entry 2:
This record from Alexandria describes a PBEsol-optimized structure of MgAs2Os. The functional is meta-GGA SCAN.

Cell and atoms, written as POSCAR:
```
MgAs2Os
1.0
3.012 0.000 0.000
-1.506 4.259 -0.004
0.000 -2.347 5.741
As Os Mg
2 1 1
Cartesian
1.506 1.712 1.443
1.506 1.692 4.959
0.000 -0.150 5.183
1.506 -0.604 2.759
```

Results
crystal system: monoclinic
distance to the lowest polymorph of the same formula: 0.000 eV/atom
space-group type: Cm (8)
calculated total energy: -29.4692 eV/atom
size of the total moment: 0.000 μB/f.u.
energy relative to the elements: -61.9 kJ/mol of formula units



Entry 3:
This record from Alexandria describes a PBEsol-optimized structure of Mg3AsOs. The functional is meta-GGA SCAN.

Cell and atoms, written as POSCAR:
```
Mg3AsOs
1.0
4.797 0.000 0.000
0.000 4.797 0.000
0.000 0.000 4.797
Mg As Os
3 1 1
Cartesian
2.398 0.000 0.000
0.000 2.398 0.000
0.000 0.000 2.398
0.000 0.000 0.000
2.398 2.398 2.398
```

Results
crystal system: cubic
N(E_F): 0.90 states/eV/atom
space-group type: Pm-3m (221)
calculated total energy: -20.5638 eV/atom
size of the total moment: 1.222 μB/f.u.
energy relative to the elements: 402.6 kJ/mol of formula units